Compound: Ca2TaBe
Source: Alexandria via LeMat-Bulk
Functional: GGA-PBE
Structure: optimized geometry

a = 4.3064 Å, b = 4.3064 Å, c = 9.5403 Å
α = 90.00°, β = 90.00°, γ = 90.00°
With the nearest neighbours (Å) after each atom.
Space group I4/mmm (No. 139)
Inequivalent atoms, fractional coordinates:
Ca  0.0000  0.5000  0.2500 (multiplicity 4)  4 Ca 3.05, 4 Ta 3.21, 4 Be 3.21
Ta  0.0000  0.0000  0.0000 (multiplicity 2)  4 Be 3.05, 8 Ca 3.21
Be  0.0000  0.0000  0.5000 (multiplicity 2)  4 Ta 3.05, 8 Ca 3.21

Output
DFT formation energy: 892 meV per atom
DOS(E_F): 6.0 states/eV/cell
Energy: -32.03 eV per cell

=====

Compound: CaTa2Be
Source: Alexandria via LeMat-Bulk
Functional: GGA-PBE
Structure: optimized geometry

a = 4.2350 Å, b = 4.2350 Å, c = 8.1833 Å
α = 90.00°, β = 90.00°, γ = 90.00°
With the nearest neighbours (Å) after each atom.
Space group I-4m2 (No. 119)
Inequivalent atoms, fractional coordinates:
Ca  0.0000  0.0000  0.0000 (multiplicity 2)  8 Ta 2.94-2.99, 4 Be 2.94
Ta  0.0000  0.0000  0.5000 (multiplicity 2)  4 Ta 2.94, 4 Be 2.94, 4 Ca 2.99
Ta  0.0000  0.5000  0.7500 (multiplicity 2)  4 Ta 2.94, 4 Ca 2.94, 4 Be 2.99
Be  0.0000  0.5000  0.2500 (multiplicity 2)  8 Ta 2.94-2.99, 4 Ca 2.94

Output
DFT formation energy: 741 meV per atom
DOS(E_F): 6.2 states/eV/cell
Energy: -52.94 eV per cell

=====

Compound: CaTa2Be
Source: Alexandria via LeMat-Bulk
Functional: GGA-PBE
Structure: optimized geometry

a = 5.6353 Å, b = 9.7006 Å, c = 2.7709 Å
α = 90.00°, β = 90.00°, γ = 90.00°
With the nearest neighbours (Å) after each atom.
Space group Cmmm (No. 65)
Inequivalent atoms, fractional coordinates:
Ca  0.0000  0.0000  0.0000 (multiplicity 2)  2 Ca 2.77, 2 Be 2.82
Ta  0.2500  0.2500  0.5000 (multiplicity 4)  4 Ta 2.77-2.82
Be  0.0000  0.5000  0.0000 (multiplicity 2)  2 Be 2.77, 2 Ca 2.82

Output
DFT formation energy: 860 meV per atom
DOS(E_F): 9.9 states/eV/cell
Energy: -51.99 eV per cell

=====

Compound: CaTa2Be
Source: Alexandria via LeMat-Bulk
Functional: GGA-PBE
Structure: optimized geometry

a = 2.8627 Å, b = 2.8627 Å, c = 8.9331 Å
α = 90.00°, β = 90.00°, γ = 90.00°
With the nearest neighbours (Å) after each atom.
Space group P4/mmm (No. 123)
Inequivalent atoms, fractional coordinates:
Ca  0.0000  0.0000  0.0000 (multiplicity 1)  4 Ca 2.86
Ta  0.5000  0.5000  0.3153 (multiplicity 2)  4 Be 2.61, 4 Ta 2.86
Be  0.0000  0.0000  0.5000 (multiplicity 1)  8 Ta 2.61, 4 Be 2.86

Output
DFT formation energy: 404 meV per atom
DOS(E_F): 2.4 states/eV/cell
Energy: -27.82 eV per cell

=====

Compound: CaTa2Be
Source: Alexandria via LeMat-Bulk
Functional: GGA-PBE
Structure: optimized geometry

a = 3.1056 Å, b = 3.1056 Å, c = 27.2121 Å
α = 90.00°, β = 90.00°, γ = 120.00°
With the nearest neighbours (Å) after each atom.
Space group R-3m (No. 166, hexagonal axes)
Inequivalent atoms, fractional coordinates:
Ca  0.0000  0.0000  0.0000 (multiplicity 3)  6 Ca 3.11, 6 Ta 3.36
Ta  0.0000  0.0000  0.2287 (multiplicity 6)  3 Be 2.46
Be  0.0000  0.0000  0.5000 (multiplicity 3)  6 Ta 2.46

Output
DFT formation energy: 674 meV per atom
DOS(E_F): 15.9 states/eV/cell
Energy: -80.21 eV per cell

=====

Compound: CaTaBe2
Source: Alexandria via LeMat-Bulk
Functional: GGA-PBE
Structure: optimized geometry

a = 2.9861 Å, b = 4.1698 Å, c = 5.4324 Å
α = 90.00°, β = 90.00°, γ = 90.00°
With the nearest neighbours (Å) after each atom.
Space group Pmm2 (No. 25)
Inequivalent atoms, fractional coordinates:
Ca  0.0000  0.0000  0.0000 (multiplicity 1)  6 Be 2.71-2.74, 2 Ca 2.99
Ta  0.5000  0.5000  0.3821 (multiplicity 1)  5 Be 2.38-2.64
Be  0.0000  0.0000  0.5011 (multiplicity 1)  4 Ta 2.64, 2 Ca 2.71-2.72
Be  0.5000  0.5000  0.8210 (multiplicity 1)  1 Ta 2.38

Output
DFT formation energy: 700 meV per atom
DOS(E_F): 3.2 states/eV/cell
Energy: -18.51 eV per cell
Polymorph energy (0 for the lowest one): 449 meV per atom

=====

Compound: CaTa2Be
Source: Alexandria via LeMat-Bulk
Functional: GGA-PBE
Structure: optimized geometry

a = 6.6594 Å, b = 6.6594 Å, c = 6.6594 Å
α = 90.00°, β = 90.00°, γ = 90.00°
With the nearest neighbours (Å) after each atom.
Space group F-43m (No. 216)
Inequivalent atoms, fractional coordinates:
Ca  0.0000  0.0000  0.0000 (multiplicity 4)  4 Ta 2.88, 4 Be 2.88
Ta  0.0000  0.0000  0.5000 (multiplicity 4)  4 Ta 2.88, 4 Be 2.88
Ta  0.2500  0.2500  0.2500 (multiplicity 4)  4 Ta 2.88, 4 Ca 2.88
Be  0.2500  0.2500  0.7500 (multiplicity 4)  4 Ta 2.88, 4 Ca 2.88

Output
DFT formation energy: 751 meV per atom
DOS(E_F): 15.5 states/eV/cell
Energy: -105.72 eV per cell

=====

Compound: CaTaBe2
Source: Alexandria via LeMat-Bulk
Functional: GGA-PBE
Structure: optimized geometry

a = 6.9370 Å, b = 6.9370 Å, c = 6.2126 Å
α = 90.00°, β = 90.00°, γ = 90.00°
With the nearest neighbours (Å) after each atom.
Space group I-42d (No. 122)
Inequivalent atoms, fractional coordinates:
Ca  0.0000  0.0000  0.0000 (multiplicity 4)  4 Be 2.75
Ta  0.0000  0.0000  0.5000 (multiplicity 4)  4 Be 2.41
Be  0.2126  0.2500  0.6250 (multiplicity 8)  2 Ta 2.41

Output
DFT formation energy: 959 meV per atom
DOS(E_F): 14.8 states/eV/cell
Energy: -69.88 eV per cell
Polymorph energy (0 for the lowest one): 709 meV per atom